#w
First-principles (PBE-GGA) data for an optimized crystal structure of LiInS, as listed in the Alexandria database.

Properties
DOS(E_F)	0.032	states/eV per atom
total magnetization	0.00	μB/f.u.
SG	No. 8

```
LiInS
1.0
6.510 0.000 0.000
0.000 4.365 0.000
-0.639 0.000 9.240
Li In S
4 4 4
direct
0.000 0.000 0.000
0.032 0.500 0.181
0.500 0.500 0.000
0.532 0.000 0.181
0.157 0.500 0.729
0.249 0.000 0.451
0.657 0.000 0.729
0.749 0.500 0.451
0.357 0.000 0.922
0.403 0.500 0.263
0.857 0.500 0.922
0.903 0.000 0.263
```

---

#x
First-principles (PBE-GGA) data for an optimized crystal structure of LiInS, as listed in the Alexandria database.

Properties
DOS(E_F)	0.157	states/eV per atom
total magnetization	0.00	μB/f.u.
SG	No. 59

```
LiInS
1.0
3.734 0.000 0.000
0.000 4.478 0.000
0.000 0.000 8.129
Li In S
2 2 2
direct
0.250 0.250 0.041
0.750 0.750 0.959
0.250 0.250 0.599
0.750 0.750 0.401
0.250 0.750 0.161
0.750 0.250 0.839
```

---

#y
First-principles (PBE-GGA) data for an optimized crystal structure of LiInS, as listed in the Alexandria database.

Properties
total magnetization	0.00	μB/f.u.
SG	No. 156

```
LiInS
1.0
3.801 0.000 0.000
-1.901 3.292 0.000
0.000 0.000 5.426
Li In S
1 1 1
direct
0.000 0.000 0.000
0.333 0.667 0.513
0.667 0.333 0.202
```

---

The most stable of them is #x.

---

#w
First-principles (PBE-GGA) data for an optimized crystal structure of LiIn2S3, as listed in the Alexandria database.

Properties
total magnetization	0.00	μB/f.u.
SG	No. 43

```
LiIn2S3
1.0
0.000 13.137 5.529
4.265 0.000 5.529
4.265 13.137 0.000
Li In S
4 8 12
direct
0.335 0.665 0.345
0.595 0.905 0.585
0.665 0.335 0.655
0.905 0.595 0.915
0.089 0.383 0.067
0.183 0.789 0.161
0.205 0.205 0.295
0.383 0.089 0.461
0.502 0.502 0.498
0.752 0.752 0.748
0.789 0.183 0.867
0.955 0.955 0.045
0.006 0.163 0.289
0.129 0.643 0.385
0.163 0.006 0.542
0.288 0.459 0.553
0.407 0.865 0.607
0.459 0.288 0.700
0.550 0.697 0.791
0.643 0.129 0.843
0.697 0.550 0.962
0.708 0.961 0.087
0.865 0.407 0.121
0.961 0.708 0.244
```

---

#x
First-principles (PBE-GGA) data for an optimized crystal structure of LiIn2S3, as listed in the Alexandria database.

Properties
DOS(E_F)	0.112	states/eV per atom
total magnetization	0.00	μB/f.u.
SG	No. 15

```
LiIn2S3
1.0
5.479 -3.363 0.000
5.479 3.363 0.000
-0.086 0.000 7.135
Li In S
2 4 6
direct
0.111 0.889 0.750
0.889 0.111 0.250
0.132 0.503 0.252
0.497 0.868 0.248
0.503 0.132 0.752
0.868 0.497 0.748
0.172 0.172 0.498
0.172 0.172 0.998
0.467 0.533 0.750
0.533 0.467 0.250
0.828 0.828 0.002
0.828 0.828 0.502
```

---

The most stable of them is #w.

---

#w
First-principles (PBE-GGA) data for an optimized crystal structure of Li3InS, as listed in the Alexandria database.

Properties
DOS(E_F)	0.826	states/eV per atom
total magnetization	1.54	μB/f.u.
SG	No. 221

```
Li3InS
1.0
5.042 0.000 0.000
0.000 5.042 0.000
0.000 0.000 5.042
Li In S
3 1 1
direct
0.000 0.000 0.500
0.000 0.500 0.000
0.500 0.000 0.000
0.000 0.000 0.000
0.500 0.500 0.500
```

---

#x
First-principles (PBE-GGA) data for an optimized crystal structure of Li3InS, as listed in the Alexandria database.

Properties
DOS(E_F)	0.527	states/eV per atom
total magnetization	0.00	μB/f.u.
SG	No. 221

```
Li3InS
1.0
4.662 0.000 0.000
0.000 4.662 0.000
0.000 0.000 4.662
Li In S
3 1 1
direct
0.000 0.000 0.500
0.000 0.500 0.000
0.500 0.000 0.000
0.500 0.500 0.500
0.000 0.000 0.000
```

---

The most stable of them is #x.

---

#w
First-principles (PBE-GGA) data for an optimized crystal structure of Li3InSb, as listed in the Alexandria database.

Properties
DOS(E_F)	0.577	states/eV per atom
total magnetization	0.00	μB/f.u.
SG	No. 221

```
Li3InSb
1.0
5.163 0.000 0.000
0.000 5.163 0.000
0.000 0.000 5.163
Li In Sb
3 1 1
direct
0.000 0.000 0.500
0.000 0.500 0.000
0.500 0.000 0.000
0.500 0.500 0.500
0.000 0.000 0.000
```

---

#x
First-principles (PBE-GGA) data for an optimized crystal structure of Li3InSb, as listed in the Alexandria database.

Properties
DOS(E_F)	0.280	states/eV per atom
total magnetization	0.00	μB/f.u.
SG	No. 166

```
Li3InSb
1.0
2.933 1.693 7.608
-2.933 1.693 7.608
0.000 -3.386 7.608
Li In Sb
6 2 2
direct
0.231 0.727 0.727
0.273 0.273 0.769
0.273 0.769 0.273
0.727 0.231 0.727
0.727 0.727 0.231
0.769 0.273 0.273
0.330 0.330 0.330
0.670 0.670 0.670
0.205 0.205 0.205
0.795 0.795 0.795
```

---

The most stable of them is #x.

---

#w
First-principles (PBE-GGA) data for an optimized crystal structure of Li4InSb2, as listed in the Alexandria database.

Properties
DOS(E_F)	0.192	states/eV per atom
total magnetization	0.00	μB/f.u.
SG	No. 166

```
Li4InSb2
1.0
2.367 1.366 7.797
-2.367 1.366 7.797
0.000 -2.733 7.797
Li In Sb
4 1 2
direct
0.118 0.118 0.118
0.370 0.370 0.370
0.630 0.630 0.630
0.882 0.882 0.882
0.500 0.500 0.500
0.249 0.249 0.249
0.751 0.751 0.751
```

---

#x
First-principles (PBE-GGA) data for an optimized crystal structure of Li4InSb2, as listed in the Alexandria database.

Properties
DOS(E_F)	0.556	states/eV per atom
total magnetization	0.00	μB/f.u.
SG	No. 139

```
Li4InSb2
1.0
4.884 0.000 0.000
0.000 4.884 0.000
0.000 0.000 14.619
Li In Sb
8 2 4
direct
0.000 0.000 0.192
0.000 0.000 0.808
0.000 0.500 0.000
0.000 0.500 0.500
0.500 0.000 0.000
0.500 0.000 0.500
0.500 0.500 0.308
0.500 0.500 0.692
0.000 0.000 0.000
0.500 0.500 0.500
0.000 0.000 0.386
0.000 0.000 0.614
0.500 0.500 0.114
0.500 0.500 0.886
```

---

The most stable of them is #w.

---

#w
First-principles (PBE-GGA) data for an optimized crystal structure of LiSc2In4, as listed in the Alexandria database.

Properties
DOS(E_F)	0.799	states/eV per atom
total magnetization	0.00	μB/f.u.
SG	No. 139

```
LiSc2In4
1.0
4.784 0.000 0.000
0.000 4.784 0.000
0.000 0.000 14.936
Li Sc In
2 4 8
direct
0.000 0.000 0.000
0.500 0.500 0.500
0.000 0.000 0.373
0.000 0.000 0.627
0.500 0.500 0.127
0.500 0.500 0.873
0.000 0.000 0.176
0.000 0.000 0.824
0.000 0.500 0.000
0.000 0.500 0.500
0.500 0.000 0.000
0.500 0.000 0.500
0.500 0.500 0.324
0.500 0.500 0.676
```

---

#x
First-principles (PBE-GGA) data for an optimized crystal structure of LiSc2In4, as listed in the Alexandria database.

Properties
DOS(E_F)	0.540	states/eV per atom
total magnetization	0.00	μB/f.u.
SG	No. 139

```
LiSc2In4
1.0
6.935 0.000 0.000
0.000 6.935 0.000
0.000 0.000 6.968
Li Sc In
2 4 8
direct
0.000 0.000 0.000
0.500 0.500 0.500
0.000 0.500 0.000
0.000 0.500 0.500
0.500 0.000 0.000
0.500 0.000 0.500
0.250 0.250 0.250
0.250 0.250 0.750
0.250 0.750 0.250
0.250 0.750 0.750
0.750 0.250 0.250
0.750 0.250 0.750
0.750 0.750 0.250
0.750 0.750 0.750
```

---

The most stable of them is #x.

---

#w
First-principles (PBE-GGA) data for an optimized crystal structure of LiScIn3, as listed in the Alexandria database.

Properties
DOS(E_F)	0.463	states/eV per atom
total magnetization	0.09	μB/f.u.
SG	No. 15

```
LiScIn3
1.0
6.602 -4.949 0.000
6.602 4.949 0.000
-0.003 0.000 7.256
Li Sc In
4 4 12
direct
0.180 0.281 0.250
0.281 0.180 0.750
0.719 0.820 0.250
0.820 0.719 0.750
0.010 0.990 0.750
0.314 0.686 0.750
0.686 0.314 0.250
0.990 0.010 0.250
0.052 0.674 0.456
0.052 0.675 0.044
0.325 0.948 0.456
0.326 0.948 0.044
0.386 0.387 0.000
0.387 0.386 0.500
0.613 0.614 0.500
0.614 0.613 0.000
0.674 0.052 0.956
0.675 0.052 0.544
0.948 0.325 0.956
0.948 0.326 0.544
```

---

#x
First-principles (PBE-GGA) data for an optimized crystal structure of LiScIn3, as listed in the Alexandria database.

Properties
DOS(E_F)	1.047	states/eV per atom
total magnetization	0.00	μB/f.u.
SG	No. 221

```
LiScIn3
1.0
5.591 0.000 0.000
0.000 5.591 0.000
0.000 0.000 5.591
Li Sc In
1 1 3
direct
0.000 0.000 0.000
0.500 0.500 0.500
0.000 0.500 0.500
0.500 0.000 0.500
0.500 0.500 0.000
```

---

#y
First-principles (PBE-GGA) data for an optimized crystal structure of LiScIn3, as listed in the Alexandria database.

Properties
DOS(E_F)	0.736	states/eV per atom
total magnetization	0.00	μB/f.u.
SG	No. 221

```
LiScIn3
1.0
4.878 0.000 0.000
0.000 4.878 0.000
0.000 0.000 4.878
Li Sc In
1 1 3
direct
0.000 0.000 0.000
0.500 0.500 0.500
0.000 0.000 0.500
0.000 0.500 0.000
0.500 0.000 0.000
```

---

The most stable of them is #w.

---

#w
First-principles (PBE-GGA) data for an optimized crystal structure of LiSc2In2, as listed in the Alexandria database.

Properties
DOS(E_F)	0.766	states/eV per atom
total magnetization	0.33	μB/f.u.
SG	No. 127

```
LiSc2In2
1.0
8.751 0.000 0.000
0.000 8.751 0.000
0.000 0.000 3.204
Li Sc In
2 4 4
direct
0.000 0.000 0.000
0.500 0.500 0.000
0.121 0.379 0.000
0.379 0.879 0.000
0.621 0.121 0.000
0.879 0.621 0.000
0.178 0.678 0.500
0.322 0.178 0.500
0.678 0.822 0.500
0.822 0.322 0.500
```

---

#x
First-principles (PBE-GGA) data for an optimized crystal structure of LiSc2In2, as listed in the Alexandria database.

Properties
DOS(E_F)	0.787	states/eV per atom
total magnetization	0.00	μB/f.u.
SG	No. 127

```
LiSc2In2
1.0
7.222 0.000 0.000
0.000 7.222 0.000
0.000 0.000 4.399
Li Sc In
2 4 4
direct
0.000 0.000 0.000
0.500 0.500 0.000
0.161 0.339 0.500
0.339 0.839 0.500
0.661 0.161 0.500
0.839 0.661 0.500
0.145 0.645 0.000
0.355 0.145 0.000
0.645 0.855 0.000
0.855 0.355 0.000
```

---

The most stable of them is #x.